No. 1
# PrNdBN2, relaxed, DFT PBE
# - calculated total energy (eV per atom) = -7.415
# - calculated volume (Å³ per cell) = 90.2
# - density of states at the Fermi level (states/eV per cell) = 2.990
data_PrNdBN2
_chemical_formula_sum 'Pr1 Nd1 B1 N2'
_symmetry_space_group_name_H-M 'P 1 2/m 1'
_symmetry_Int_Tables_number 10
_symmetry_space_group_name_Hall '-P 2y'
_cell_length_a 3.798
_cell_length_b 4.171
_cell_length_c 5.902
_cell_angle_alpha 90.00
_cell_angle_beta 105.32
_cell_angle_gamma 90.00
loop_
_atom_site_label
_atom_site_type_symbol
_atom_site_fract_x
_atom_site_fract_y
_atom_site_fract_z
Pr1 Pr 0.000 0.000 0.000
Nd1 Nd 0.000 0.500 0.500
B1 B 0.500 0.000 0.500
N1 N 0.374 0.000 0.699

=====

No. 2
# Nd3B2RuN6, relaxed, DFT PBE
# - calculated total energy (eV per atom) = -8.058
# - calculated volume (Å³ per cell) = 157.7
# - density of states at the Fermi level (states/eV per cell) = 5.664
data_Nd3B2RuN6
_chemical_formula_sum 'Nd3 B2 Ru1 N6'
_symmetry_space_group_name_H-M 'P -3 m 1'
_symmetry_Int_Tables_number 164
_symmetry_space_group_name_Hall '-P 3 2"'
_cell_length_a 5.3861
_cell_length_b 5.3861
_cell_length_c 6.2770
_cell_angle_alpha 90.00
_cell_angle_beta 90.00
_cell_angle_gamma 120.00
loop_
_atom_site_label
_atom_site_type_symbol
_atom_site_fract_x
_atom_site_fract_y
_atom_site_fract_z
Nd1 Nd 0.0000 0.0000 0.0000
Nd2 Nd 0.3333 0.6667 0.6697
B1 B 0.3333 0.6667 0.2701
Ru1 Ru 0.0000 0.0000 0.5000
N1 N 0.1778 0.3555 0.2874

=====

No. 3
# Nd3ScB2N6, relaxed, DFT PBE
# - calculated total energy (eV per atom) = -8.234
# - calculated volume (Å³ per cell) = 164.2
# - density of states at the Fermi level (states/eV per cell) = 0.320
data_Nd3ScB2N6
_chemical_formula_sum 'Nd3 Sc1 B2 N6'
_symmetry_space_group_name_H-M 'P -3 m 1'
_symmetry_Int_Tables_number 164
_symmetry_space_group_name_Hall '-P 3 2"'
_cell_length_a 5.5095
_cell_length_b 5.5095
_cell_length_c 6.2459
_cell_angle_alpha 90.00
_cell_angle_beta 90.00
_cell_angle_gamma 120.00
loop_
_atom_site_label
_atom_site_type_symbol
_atom_site_fract_x
_atom_site_fract_y
_atom_site_fract_z
Nd1 Nd 0.0000 0.0000 0.0000
Nd2 Nd 0.3333 0.6667 0.6630
Sc1 Sc 0.0000 0.0000 0.5000
B1 B 0.3333 0.6667 0.2554
N1 N 0.1815 0.3629 0.2834

=====

No. 4
# Nd3SmB2N6, relaxed, DFT PBE
# - calculated total energy (eV per atom) = -7.943
# - calculated volume (Å³ per cell) = 178.7
# - density of states at the Fermi level (states/eV per cell) = 0.332
data_Nd3SmB2N6
_chemical_formula_sum 'Nd3 Sm1 B2 N6'
_symmetry_space_group_name_H-M 'P -3 m 1'
_symmetry_Int_Tables_number 164
_symmetry_space_group_name_Hall '-P 3 2"'
_cell_length_a 5.6827
_cell_length_b 5.6827
_cell_length_c 6.3881
_cell_angle_alpha 90.00
_cell_angle_beta 90.00
_cell_angle_gamma 120.00
loop_
_atom_site_label
_atom_site_type_symbol
_atom_site_fract_x
_atom_site_fract_y
_atom_site_fract_z
Nd1 Nd 0.0000 0.0000 0.0000
Nd2 Nd 0.3333 0.6667 0.6611
Sm1 Sm 0.0000 0.0000 0.5000
B1 B 0.3333 0.6667 0.2443
N1 N 0.1862 0.3724 0.2690

=====

No. 5
# SrNdBN2, relaxed, DFT PBE
# - calculated total energy (eV per atom) = -6.746
# - calculated volume (Å³ per cell) = 196.3
# - density of states at the Fermi level (states/eV per cell) = 4.072
data_SrNdBN2
_chemical_formula_sum 'Sr2 Nd2 B2 N4'
_symmetry_space_group_name_H-M 'P c c m'
_symmetry_Int_Tables_number 49
_symmetry_space_group_name_Hall '-P 2 2c'
_cell_length_a 5.245
_cell_length_b 5.351
_cell_length_c 6.995
_cell_angle_alpha 90.00
_cell_angle_beta 90.00
_cell_angle_gamma 90.00
loop_
_atom_site_label
_atom_site_type_symbol
_atom_site_fract_x
_atom_site_fract_y
_atom_site_fract_z
Sr1 Sr 0.000 0.000 0.250
Nd1 Nd 0.500 0.500 0.250
B1 B 0.000 0.500 0.000
N1 N 0.201 0.338 0.000

=====

No. 6
# TbNd3B2N6, relaxed, DFT PBE
# - calculated total energy (eV per atom) = -7.999
# - calculated volume (Å³ per cell) = 175.1
# - density of states at the Fermi level (states/eV per cell) = 0.345
data_TbNd3B2N6
_chemical_formula_sum 'Tb1 Nd3 B2 N6'
_symmetry_space_group_name_H-M 'P -3 m 1'
_symmetry_Int_Tables_number 164
_symmetry_space_group_name_Hall '-P 3 2"'
_cell_length_a 5.6406
_cell_length_b 5.6406
_cell_length_c 6.3545
_cell_angle_alpha 90.00
_cell_angle_beta 90.00
_cell_angle_gamma 120.00
loop_
_atom_site_label
_atom_site_type_symbol
_atom_site_fract_x
_atom_site_fract_y
_atom_site_fract_z
Tb1 Tb 0.0000 0.0000 0.0000
Nd1 Nd 0.0000 0.0000 0.5000
Nd2 Nd 0.3333 0.6667 0.1613
B1 B 0.3333 0.6667 0.7471
N1 N 0.1851 0.3702 0.7728

=====

No. 7
# Nd3TmB2N6, relaxed, DFT PBE
# - calculated total energy (eV per atom) = -8.041
# - calculated volume (Å³ per cell) = 171.5
# - density of states at the Fermi level (states/eV per cell) = 0.317
data_Nd3TmB2N6
_chemical_formula_sum 'Nd3 Tm1 B2 N6'
_symmetry_space_group_name_H-M 'P -3 m 1'
_symmetry_Int_Tables_number 164
_symmetry_space_group_name_Hall '-P 3 2"'
_cell_length_a 5.5974
_cell_length_b 5.5974
_cell_length_c 6.3205
_cell_angle_alpha 90.00
_cell_angle_beta 90.00
_cell_angle_gamma 120.00
loop_
_atom_site_label
_atom_site_type_symbol
_atom_site_fract_x
_atom_site_fract_y
_atom_site_fract_z
Nd1 Nd 0.0000 0.0000 0.0000
Nd2 Nd 0.3333 0.6667 0.6618
Tm1 Tm 0.0000 0.0000 0.5000
B1 B 0.3333 0.6667 0.2502
N1 N 0.1839 0.3678 0.2767

=====

No. 8
# Nd3VB2N6, relaxed, DFT PBE
# - calculated total energy (eV per atom) = -8.281
# - calculated volume (Å³ per cell) = 155.9
# - density of states at the Fermi level (states/eV per cell) = 4.235
data_Nd3VB2N6
_chemical_formula_sum 'Nd3 V1 B2 N6'
_symmetry_space_group_name_H-M 'P -3 m 1'
_symmetry_Int_Tables_number 164
_symmetry_space_group_name_Hall '-P 3 2"'
_cell_length_a 5.3978
_cell_length_b 5.3978
_cell_length_c 6.1777
_cell_angle_alpha 90.00
_cell_angle_beta 90.00
_cell_angle_gamma 120.00
loop_
_atom_site_label
_atom_site_type_symbol
_atom_site_fract_x
_atom_site_fract_y
_atom_site_fract_z
Nd1 Nd 0.0000 0.0000 0.0000
Nd2 Nd 0.3333 0.6667 0.6660
V1 V 0.0000 0.0000 0.5000
B1 B 0.3333 0.6667 0.2641
N1 N 0.1782 0.3563 0.2950

=====

No. 9
# Nd3ZrB2N6, relaxed, DFT PBE
# - calculated total energy (eV per atom) = -8.357
# - calculated volume (Å³ per cell) = 168.4
# - density of states at the Fermi level (states/eV per cell) = 1.986
data_Nd3ZrB2N6
_chemical_formula_sum 'Nd3 Zr1 B2 N6'
_symmetry_space_group_name_H-M 'P -3 m 1'
_symmetry_Int_Tables_number 164
_symmetry_space_group_name_Hall '-P 3 2"'
_cell_length_a 5.5560
_cell_length_b 5.5560
_cell_length_c 6.2993
_cell_angle_alpha 90.00
_cell_angle_beta 90.00
_cell_angle_gamma 120.00
loop_
_atom_site_label
_atom_site_type_symbol
_atom_site_fract_x
_atom_site_fract_y
_atom_site_fract_z
Nd1 Nd 0.0000 0.0000 0.0000
Nd2 Nd 0.3333 0.6667 0.6598
Zr1 Zr 0.0000 0.0000 0.5000
B1 B 0.3333 0.6667 0.2543
N1 N 0.1829 0.3658 0.2890

=====

No. 10
# NiB3N3, relaxed, DFT PBE
# - calculated total energy (eV per atom) = -7.238
# - calculated volume (Å³ per cell) = 95.0
# - density of states at the Fermi level (states/eV per cell) = 2.625
data_NiB3N3
_chemical_formula_sum 'Ni2 B6 N6'
_symmetry_space_group_name_H-M 'P m -3 n'
_symmetry_Int_Tables_number 223
_symmetry_space_group_name_Hall '-P 4n 2 3'
_cell_length_a 4.563
_cell_length_b 4.563
_cell_length_c 4.563
_cell_angle_alpha 90.00
_cell_angle_beta 90.00
_cell_angle_gamma 90.00
loop_
_atom_site_label
_atom_site_type_symbol
_atom_site_fract_x
_atom_site_fract_y
_atom_site_fract_z
Ni1 Ni 0.000 0.000 0.000
B1 B 0.000 0.250 0.500
N1 N 0.000 0.500 0.250

=====

No. 11
# NiBN2, relaxed, DFT PBE
# - calculated total energy (eV per atom) = -7.143
# - calculated volume (Å³ per cell) = 111.4
# - density of states at the Fermi level (states/eV per cell) = 4.708
data_NiBN2
_chemical_formula_sum 'Ni3 B3 N6'
_symmetry_space_group_name_H-M 'R -3 m'
_symmetry_Int_Tables_number 166
_symmetry_space_group_name_Hall '-R 3 2"'
_cell_length_a 3.0150
_cell_length_b 3.0150
_cell_length_c 14.1487
_cell_angle_alpha 90.00
_cell_angle_beta 90.00
_cell_angle_gamma 120.00
loop_
_atom_site_label
_atom_site_type_symbol
_atom_site_fract_x
_atom_site_fract_y
_atom_site_fract_z
Ni1 Ni 0.0000 0.0000 0.0000
B1 B 0.0000 0.0000 0.5000
N1 N 0.0000 0.0000 0.4051

=====

No. 12
# Ni3BN, relaxed, DFT PBE
# - calculated total energy (eV per atom) = -5.983
# - calculated volume (Å³ per cell) = 49.0
# - density of states at the Fermi level (states/eV per cell) = 3.990
# - energy relative to the lowest polymorph listed for this composition (eV/atom) = 0.000
data_Ni3BN
_chemical_formula_sum 'Ni3 B1 N1'
_symmetry_space_group_name_H-M 'P m -3 m'
_symmetry_Int_Tables_number 221
_symmetry_space_group_name_Hall '-P 4 2 3'
_cell_length_a 3.660
_cell_length_b 3.660
_cell_length_c 3.660
_cell_angle_alpha 90.00
_cell_angle_beta 90.00
_cell_angle_gamma 90.00
loop_
_atom_site_label
_atom_site_type_symbol
_atom_site_fract_x
_atom_site_fract_y
_atom_site_fract_z
Ni1 Ni 0.000 0.000 0.500
B1 B 0.500 0.500 0.500
N1 N 0.000 0.000 0.000

=====

No. 13
# NiB3N, relaxed, DFT PBE
# - calculated total energy (eV per atom) = -5.320
# - calculated volume (Å³ per cell) = 37.2
# - density of states at the Fermi level (states/eV per cell) = 1.709
# - energy relative to the lowest polymorph listed for this composition (eV/atom) = 0.000
data_NiB3N
_chemical_formula_sum 'Ni1 B3 N1'
_symmetry_space_group_name_H-M 'P m -3 m'
_symmetry_Int_Tables_number 221
_symmetry_space_group_name_Hall '-P 4 2 3'
_cell_length_a 3.338
_cell_length_b 3.338
_cell_length_c 3.338
_cell_angle_alpha 90.00
_cell_angle_beta 90.00
_cell_angle_gamma 90.00
loop_
_atom_site_label
_atom_site_type_symbol
_atom_site_fract_x
_atom_site_fract_y
_atom_site_fract_z
Ni1 Ni 0.000 0.000 0.000
B1 B 0.000 0.500 0.500
N1 N 0.500 0.500 0.500

=====

No. 14
# NiB3N, relaxed, DFT PBE
# - calculated total energy (eV per atom) = -4.945
# - calculated volume (Å³ per cell) = 52.7
# - density of states at the Fermi level (states/eV per cell) = 1.054
# - energy relative to the lowest polymorph listed for this composition (eV/atom) = 0.376
data_NiB3N
_chemical_formula_sum 'Ni1 B3 N1'
_symmetry_space_group_name_H-M 'P m -3 m'
_symmetry_Int_Tables_number 221
_symmetry_space_group_name_Hall '-P 4 2 3'
_cell_length_a 3.748
_cell_length_b 3.748
_cell_length_c 3.748
_cell_angle_alpha 90.00
_cell_angle_beta 90.00
_cell_angle_gamma 90.00
loop_
_atom_site_label
_atom_site_type_symbol
_atom_site_fract_x
_atom_site_fract_y
_atom_site_fract_z
Ni1 Ni 0.000 0.000 0.000
B1 B 0.000 0.000 0.500
N1 N 0.500 0.500 0.500

=====

No. 15
# NiB2N, relaxed, DFT PBE
# - calculated total energy (eV per atom) = -6.819
# - calculated volume (Å³ per cell) = 127.2
# - density of states at the Fermi level (states/eV per cell) = 8.481
data_NiB2N
_chemical_formula_sum 'Ni4 B8 N4'
_symmetry_space_group_name_H-M 'I -4 2 d'
_symmetry_Int_Tables_number 122
_symmetry_space_group_name_Hall 'I -4 2bw'
_cell_length_a 4.463
_cell_length_b 4.463
_cell_length_c 6.386
_cell_angle_alpha 90.00
_cell_angle_beta 90.00
_cell_angle_gamma 90.00
loop_
_atom_site_label
_atom_site_type_symbol
_atom_site_fract_x
_atom_site_fract_y
_atom_site_fract_z
Ni1 Ni 0.000 0.000 0.000
B1 B 0.166 0.250 0.625
N1 N 0.000 0.000 0.500

=====

No. 16
# NiB6N6, relaxed, DFT PBE
# - calculated total energy (eV per atom) = -7.782
# - calculated volume (Å³ per cell) = 91.5
# - density of states at the Fermi level (states/eV per cell) = 0.436
data_NiB6N6
_chemical_formula_sum 'Ni1 B6 N6'
_symmetry_space_group_name_H-M 'P m -3'
_symmetry_Int_Tables_number 200
_symmetry_space_group_name_Hall '-P 2 2 3'
_cell_length_a 4.507
_cell_length_b 4.507
_cell_length_c 4.507
_cell_angle_alpha 90.00
_cell_angle_beta 90.00
_cell_angle_gamma 90.00
loop_
_atom_site_label
_atom_site_type_symbol
_atom_site_fract_x
_atom_site_fract_y
_atom_site_fract_z
Ni1 Ni 0.000 0.000 0.000
B1 B 0.000 0.246 0.500
N1 N 0.000 0.500 0.252

=====

No. 17
# NiBN2, relaxed, DFT PBE
# - calculated total energy (eV per atom) = -7.440
# - calculated volume (Å³ per cell) = 124.3
# - density of states at the Fermi level (states/eV per cell) = 8.235
data_NiBN2
_chemical_formula_sum 'Ni4 B4 N8'
_symmetry_space_group_name_H-M 'I -4 2 d'
_symmetry_Int_Tables_number 122
_symmetry_space_group_name_Hall 'I -4 2bw'
_cell_length_a 4.141
_cell_length_b 4.141
_cell_length_c 7.246
_cell_angle_alpha 90.00
_cell_angle_beta 90.00
_cell_angle_gamma 90.00
loop_
_atom_site_label
_atom_site_type_symbol
_atom_site_fract_x
_atom_site_fract_y
_atom_site_fract_z
Ni1 Ni 0.000 0.000 0.000
B1 B 0.000 0.000 0.500
N1 N 0.180 0.250 0.625

=====

No. 18
# Pm3Ni2B2N3, relaxed, DFT PBE
# - calculated total energy (eV per atom) = -7.508
# - calculated volume (Å³ per cell) = 263.4
# - density of states at the Fermi level (states/eV per cell) = 10.147
data_Pm3Ni2B2N3
_chemical_formula_sum 'Pm6 Ni4 B4 N6'
_symmetry_space_group_name_H-M 'I 4/m m m'
_symmetry_Int_Tables_number 139
_symmetry_space_group_name_Hall '-I 4 2'
_cell_length_a 3.600
_cell_length_b 3.600
_cell_length_c 20.330
_cell_angle_alpha 90.00
_cell_angle_beta 90.00
_cell_angle_gamma 90.00
loop_
_atom_site_label
_atom_site_type_symbol
_atom_site_fract_x
_atom_site_fract_y
_atom_site_fract_z
Pm1 Pm 0.000 0.000 0.000
Pm2 Pm 0.000 0.000 0.375
Ni1 Ni 0.000 0.500 0.250
B1 B 0.000 0.000 0.192
N1 N 0.000 0.000 0.121
N2 N 0.000 0.000 0.500

=====

No. 19
# ReNiBN2, relaxed, DFT PBE
# - calculated total energy (eV per atom) = -6.906
# - calculated volume (Å³ per cell) = 70.4
# - density of states at the Fermi level (states/eV per cell) = 2.984
data_ReNiBN2
_chemical_formula_sum 'Re1 Ni1 B1 N2'
_symmetry_space_group_name_H-M 'P 4/m m m'
_symmetry_Int_Tables_number 123
_symmetry_space_group_name_Hall '-P 4 2'
_cell_length_a 3.755
_cell_length_b 3.755
_cell_length_c 4.995
_cell_angle_alpha 90.00
_cell_angle_beta 90.00
_cell_angle_gamma 90.00
loop_
_atom_site_label
_atom_site_type_symbol
_atom_site_fract_x
_atom_site_fract_y
_atom_site_fract_z
Re1 Re 0.000 0.000 0.000
Ni1 Ni 0.000 0.000 0.500
B1 B 0.500 0.500 0.500
N1 N 0.000 0.500 0.000

=====

No. 20
# NiBSN2, relaxed, DFT PBE
# - calculated total energy (eV per atom) = -5.782
# - calculated volume (Å³ per cell) = 71.3
# - density of states at the Fermi level (states/eV per cell) = 3.505
# - energy relative to the lowest polymorph listed for this composition (eV/atom) = 0.000
data_NiBSN2
_chemical_formula_sum 'Ni1 B1 S1 N2'
_symmetry_space_group_name_H-M 'P 4/m m m'
_symmetry_Int_Tables_number 123
_symmetry_space_group_name_Hall '-P 4 2'
_cell_length_a 3.073
_cell_length_b 3.073
_cell_length_c 7.549
_cell_angle_alpha 90.00
_cell_angle_beta 90.00
_cell_angle_gamma 90.00
loop_
_atom_site_label
_atom_site_type_symbol
_atom_site_fract_x
_atom_site_fract_y
_atom_site_fract_z
Ni1 Ni 0.000 0.000 0.000
B1 B 0.500 0.500 0.500
S1 S 0.500 0.500 0.000
N1 N 0.000 0.500 0.500